Record 1
{
  "formula": "HOsPdW2",
  "functional": "PBE",
  "state": "optimized geometry",
  "crystal_system": "tetragonal",
  "lattice": [[-3.978, 0.289, -0.039], [-0.265, -3.355, 2.141], [0.122, 2.130, 3.353]],
  "species": ["Pd", "H", "W", "W", "Os"],
  "frac_coords": [[0.500, 0.500, 0.500], [0.000, 0.000, 0.000], [0.000, 0.500, 0.000], [0.500, 0.000, 0.000], [0.000, 0.000, 0.500]]
}



Record 2
{
  "formula": "Y2HOsPd",
  "functional": "PBE",
  "state": "optimized geometry",
  "crystal_system": "tetragonal",
  "lattice": [[-0.494, -2.227, 4.309], [4.495, 1.419, 1.249], [-1.360, 3.057, 1.424]],
  "species": ["Y", "Y", "Os", "H", "Pd"],
  "frac_coords": [[0.000, 0.500, 0.000], [0.500, 0.000, 0.000], [0.000, 0.000, 0.500], [0.000, 0.000, 0.000], [0.500, 0.500, 0.500]]
}



Record 3
{
  "formula": "ZnHOs2Pd",
  "functional": "PBE",
  "state": "optimized geometry",
  "crystal_system": "tetragonal",
  "lattice": [[4.859, 0.000, 0.000], [0.000, 4.720, 0.000], [0.000, 0.000, 4.859]],
  "species": ["H", "Zn", "Pd", "Os", "Os"],
  "frac_coords": [[0.500, 0.500, 0.500], [0.000, 0.500, 0.000], [0.000, 0.000, 0.000], [0.000, 0.000, 0.500], [0.500, 0.000, 0.000]]
}



Record 4
{
  "formula": "Zr2HOsPd",
  "functional": "PBE",
  "state": "optimized geometry",
  "crystal_system": "tetragonal",
  "lattice": [[-0.659, -0.280, -4.460], [-3.346, -2.958, 0.681], [-2.426, 2.786, 0.183]],
  "species": ["Pd", "Zr", "Zr", "H", "Os"],
  "frac_coords": [[0.500, 0.500, 0.500], [0.000, 0.500, 0.000], [0.500, 0.000, 0.000], [0.000, 0.000, 0.000], [0.000, 0.000, 0.500]]
}



Record 5
{
  "formula": "Zr2HOsPd",
  "functional": "PBE",
  "state": "optimized geometry",
  "crystal_system": "tetragonal",
  "lattice": [[-1.570, -2.793, 3.280], [0.947, -3.629, -2.637], [3.287, -0.176, 1.423]],
  "species": ["H", "Zr", "Zr", "Os", "Pd"],
  "frac_coords": [[0.000, 0.000, 0.000], [0.000, 0.500, 0.000], [0.500, 0.000, 0.000], [0.500, 0.500, 0.500], [0.000, 0.000, 0.500]]
}



Record 6
{
  "formula": "PmH8Os2",
  "functional": "PBE",
  "state": "optimized geometry",
  "crystal_system": "orthorhombic",
  "lattice": [[4.681, 0.057, -0.038], [-0.071, 4.361, -1.541], [0.026, 0.542, 4.594]],
  "species": ["H", "H", "H", "H", "H", "H", "H", "H", "Pm", "Os", "Os"],
  "frac_coords": [[0.851, 0.541, 0.541], [0.348, 0.035, 0.708], [0.591, 0.291, 0.028], [0.333, 0.541, 0.541], [0.591, 0.028, 0.291], [0.832, 0.708, 0.034], [0.832, 0.034, 0.708], [0.348, 0.708, 0.035], [0.091, 0.167, 0.167], [0.591, 0.639, 0.273], [0.591, 0.273, 0.639]]
}



Record 7
{
  "formula": "Pm2H6Os",
  "functional": "PBE",
  "state": "optimized geometry",
  "crystal_system": "cubic",
  "lattice": [[5.179, 0.000, 0.000], [2.589, 4.485, 0.000], [2.589, 1.495, 4.229]],
  "species": ["Pm", "Pm", "H", "H", "H", "H", "H", "H", "Os"],
  "frac_coords": [[0.750, 0.750, 0.750], [0.250, 0.250, 0.250], [0.239, 0.761, 0.761], [0.761, 0.761, 0.239], [0.239, 0.761, 0.239], [0.239, 0.239, 0.761], [0.761, 0.239, 0.761], [0.761, 0.239, 0.239], [0.000, 0.000, 0.000]]
}



Record 8
{
  "formula": "PmH6Os",
  "functional": "PBE",
  "state": "optimized geometry",
  "crystal_system": "trigonal",
  "lattice": [[4.099, 0.000, 2.141], [1.490, 3.819, 2.141], [0.203, 0.139, 4.605]],
  "species": ["H", "H", "H", "H", "H", "H", "Pm", "Os"],
  "frac_coords": [[0.443, 0.895, 0.768], [0.557, 0.105, 0.232], [0.895, 0.443, 0.768], [0.105, 0.105, 0.232], [0.895, 0.895, 0.768], [0.105, 0.557, 0.232], [0.500, 0.500, 0.500], [0.000, 0.000, 0.000]]
}



Record 9
{
  "formula": "PmH5Os",
  "functional": "PBE",
  "state": "optimized geometry",
  "crystal_system": "orthorhombic",
  "lattice": [[4.448, 0.605, 1.220], [1.066, 4.361, 1.220], [0.914, 0.823, 7.200]],
  "species": ["H", "H", "H", "H", "H", "H", "H", "H", "H", "H", "Os", "Os", "Pm", "Pm"],
  "frac_coords": [[0.000, 0.000, 0.250], [0.416, 0.918, 0.917], [0.082, 0.584, 0.583], [0.584, 0.082, 0.083], [0.082, 0.584, 0.084], [0.000, 0.000, 0.750], [0.918, 0.416, 0.916], [0.416, 0.918, 0.416], [0.584, 0.082, 0.584], [0.918, 0.416, 0.417], [0.000, 0.000, 0.000], [0.000, 0.000, 0.500], [0.500, 0.500, 0.750], [0.500, 0.500, 0.250]]
}



Record 10
{
  "formula": "PmHOs",
  "functional": "PBE",
  "state": "optimized geometry",
  "crystal_system": "monoclinic",
  "lattice": [[-0.604, 1.072, -5.512], [-1.916, -1.755, -5.014], [-2.485, 3.438, 12.969]],
  "species": ["H", "H", "Pm", "Pm", "Os", "Os"],
  "frac_coords": [[0.611, 0.611, 0.891], [0.389, 0.389, 0.109], [0.882, 0.882, 0.219], [0.118, 0.118, 0.781], [0.758, 0.758, 0.346], [0.242, 0.242, 0.654]]
}



Record 11
{
  "formula": "PmH3Os",
  "functional": "PBE",
  "state": "optimized geometry",
  "crystal_system": "cubic",
  "lattice": [[-1.445, -1.137, -3.241], [3.371, 0.202, -1.574], [0.656, -3.543, 0.950]],
  "species": ["H", "H", "H", "Os", "Pm"],
  "frac_coords": [[0.000, 0.000, 0.500], [0.000, 0.500, 0.000], [0.500, 0.000, 0.000], [0.000, 0.000, 0.000], [0.500, 0.500, 0.500]]
}



Record 12
{
  "formula": "PmH4Os",
  "functional": "PBE",
  "state": "optimized geometry",
  "crystal_system": "orthorhombic",
  "lattice": [[-0.401, -3.770, 0.494], [3.186, -1.775, -1.148], [3.234, 0.693, 7.905]],
  "species": ["Os", "Os", "H", "H", "H", "H", "H", "H", "H", "H", "Pm", "Pm"],
  "frac_coords": [[0.357, 0.357, 0.750], [0.643, 0.643, 0.250], [0.640, 0.135, 0.250], [0.362, 0.362, 0.551], [0.360, 0.865, 0.750], [0.362, 0.362, 0.949], [0.638, 0.638, 0.449], [0.865, 0.360, 0.750], [0.135, 0.640, 0.250], [0.638, 0.638, 0.051], [0.000, 0.000, 0.000], [0.000, 0.000, 0.500]]
}



Record 13
{
  "formula": "Pm4HOs",
  "functional": "PBE",
  "state": "optimized geometry",
  "crystal_system": "monoclinic",
  "lattice": [[-4.653, -1.284, 0.259], [1.184, -2.964, 6.484], [-1.880, 7.580, 3.807]],
  "species": ["Pm", "Pm", "Pm", "Pm", "Pm", "Pm", "Pm", "Pm", "H", "H", "Os", "Os"],
  "frac_coords": [[0.750, 0.924, 0.250], [0.750, 0.319, 0.547], [0.750, 0.319, 0.953], [0.749, 0.739, 0.750], [0.250, 0.681, 0.453], [0.250, 0.681, 0.047], [0.250, 0.076, 0.750], [0.251, 0.261, 0.250], [0.749, 0.081, 0.750], [0.251, 0.919, 0.250], [0.752, 0.521, 0.250], [0.248, 0.479, 0.750]]
}



Record 14
{
  "formula": "PmH7Os2",
  "functional": "PBE",
  "state": "optimized geometry",
  "crystal_system": "orthorhombic",
  "lattice": [[3.313, 0.000, 0.000], [0.000, 4.721, -2.576], [0.000, -0.122, 5.390]],
  "species": ["Os", "Os", "H", "H", "H", "H", "H", "H", "H", "Pm"],
  "frac_coords": [[0.500, 0.315, 0.629], [0.500, 0.685, 0.371], [0.000, 0.375, 0.751], [0.500, 0.671, 0.706], [0.500, 0.034, 0.706], [0.500, 0.966, 0.294], [0.000, 0.625, 0.249], [0.500, 0.329, 0.294], [0.500, 0.500, 0.000], [0.000, 0.000, 0.000]]
}



Record 15
{
  "formula": "Pm2Si2HOs2",
  "functional": "PBE",
  "state": "optimized geometry",
  "crystal_system": "monoclinic",
  "lattice": [[4.147, 0.000, 0.000], [2.073, 5.342, -0.539], [2.073, 1.426, 5.339]],
  "species": ["Si", "Si", "Os", "Os", "Pm", "Pm", "H"],
  "frac_coords": [[0.840, 0.600, 0.720], [0.160, 0.400, 0.280], [0.205, 0.698, 0.893], [0.795, 0.302, 0.107], [0.433, 0.827, 0.307], [0.567, 0.173, 0.693], [0.000, 0.000, 0.000]]
}



Record 16
{
  "formula": "PrH6Os",
  "functional": "PBE",
  "state": "optimized geometry",
  "crystal_system": "trigonal",
  "lattice": [[4.168, 0.000, 2.177], [1.515, 3.882, 2.177], [0.232, 0.158, 4.633]],
  "species": ["H", "H", "H", "H", "H", "H", "Pr", "Os"],
  "frac_coords": [[0.561, 0.106, 0.227], [0.894, 0.894, 0.773], [0.106, 0.106, 0.227], [0.894, 0.439, 0.773], [0.106, 0.561, 0.227], [0.439, 0.894, 0.773], [0.500, 0.500, 0.500], [0.000, 0.000, 0.000]]
}



Record 17
{
  "formula": "PrHOs",
  "functional": "PBE",
  "state": "optimized geometry",
  "crystal_system": "orthorhombic",
  "lattice": [[-0.276, -0.290, -5.131], [4.761, -1.544, -0.169], [-5.045, -15.683, 1.156]],
  "species": ["Pr", "Pr", "Pr", "Pr", "Pr", "Pr", "Pr", "Pr", "Os", "Os", "Os", "Os", "Os", "Os", "Os", "Os", "H", "H", "H", "H", "H", "H", "H", "H"],
  "frac_coords": [[0.250, 0.516, 0.657], [0.750, 0.984, 0.157], [0.750, 0.016, 0.657], [0.750, 0.484, 0.343], [0.250, 0.984, 0.343], [0.250, 0.484, 0.157], [0.750, 0.516, 0.843], [0.250, 0.016, 0.843], [0.985, 0.750, 0.500], [0.515, 0.750, 0.500], [0.985, 0.250, 0.000], [0.485, 0.750, 0.000], [0.485, 0.250, 0.500], [0.515, 0.250, 0.000], [0.015, 0.750, 0.000], [0.015, 0.250, 0.500], [0.250, 0.017, 0.695], [0.750, 0.017, 0.805], [0.250, 0.483, 0.305], [0.250, 0.517, 0.805], [0.250, 0.983, 0.195], [0.750, 0.983, 0.305], [0.750, 0.517, 0.695], [0.750, 0.483, 0.195]]
}



Record 18
{
  "formula": "PrH5Os",
  "functional": "PBE",
  "state": "optimized geometry",
  "crystal_system": "orthorhombic",
  "lattice": [[-1.745, 0.574, 4.328], [3.074, -0.956, 3.426], [2.551, 6.047, 3.370]],
  "species": ["H", "H", "H", "H", "H", "H", "H", "H", "H", "H", "Os", "Os", "Pr", "Pr"],
  "frac_coords": [[0.077, 0.589, 0.583], [0.589, 0.077, 0.083], [0.411, 0.922, 0.417], [0.000, 0.000, 0.750], [0.923, 0.411, 0.417], [0.589, 0.078, 0.583], [0.922, 0.411, 0.917], [0.078, 0.589, 0.083], [0.411, 0.923, 0.917], [0.000, 0.000, 0.250], [0.000, 0.000, 0.500], [0.000, 0.000, 0.000], [0.500, 0.500, 0.750], [0.500, 0.500, 0.250]]
}



Record 19
{
  "formula": "H2OsPt2",
  "functional": "PBE",
  "state": "optimized geometry",
  "crystal_system": "tetragonal",
  "lattice": [[-2.621, -0.727, -0.749], [0.756, 0.072, -2.717], [0.750, -6.699, -1.434]],
  "species": ["Os", "H", "H", "Pt", "Pt"],
  "frac_coords": [[0.000, 0.000, 0.000], [0.750, 0.250, 0.500], [0.250, 0.750, 0.500], [0.647, 0.647, 0.706], [0.353, 0.353, 0.294]]
}



Record 20
{
  "formula": "H2Os2Pt",
  "functional": "PBE",
  "state": "optimized geometry",
  "crystal_system": "tetragonal",
  "lattice": [[3.511, 0.000, 0.000], [0.000, 3.511, 0.000], [1.755, 1.755, 4.072]],
  "species": ["Os", "Os", "H", "H", "Pt"],
  "frac_coords": [[0.661, 0.661, 0.679], [0.339, 0.339, 0.321], [0.250, 0.750, 0.500], [0.750, 0.250, 0.500], [0.000, 0.000, 0.000]]
}



| no. | total energy (eV/atom) |
| --- | --- |
| 1 | -8.98 |
| 2 | -7.03 |
| 3 | -3.96 |
| 4 | -7.79 |
| 5 | -7.79 |
| 6 | -4.99 |
| 7 | -5.02 |
| 8 | -4.70 |
| 9 | -4.98 |
| 10 | -6.22 |
| 11 | -5.46 |
| 12 | -5.16 |
| 13 | -5.74 |
| 14 | -5.09 |
| 15 | -7.14 |
| 16 | -4.71 |
| 17 | -6.46 |
| 18 | -4.97 |
| 19 | -5.69 |
| 20 | -6.64 |